[1]
DFT (PBE) results for a relaxed structure of AcScCdAg.

Calculated values
space group = F-43m (216)
size of the total moment = 0.0 μB/f.u.
DOS(E_F) = 0.839 states/eV/atom
formation energy from the elements = -0.161 eV per atom

Structure (POSCAR):
```
AcScCdAg
1.0
0.000 3.793 3.793
3.793 0.000 3.793
3.793 3.793 0.000
Ac Sc Cd Ag
1 1 1 1
Direct
0.000 0.000 0.000 Ac
0.500 0.500 0.500 Sc
0.750 0.750 0.750 Cd
0.250 0.250 0.250 Ag
```

[2]
DFT (PBE) results for a relaxed structure of PmDy2Y3Tm6.

Calculated values
space group = C2/m (12)
size of the total moment = 0.0 μB/f.u.
DOS(E_F) = 1.430 states/eV/atom
formation energy from the elements = 0.025 eV per atom

Structure (POSCAR):
```
PmDy2Y3Tm6
1.0
3.061 -5.295 0.000
3.061 5.295 0.000
-2.036 0.000 11.510
Pm Dy Y Tm
1 2 3 6
Direct
0.000 0.000 0.000 Pm
0.333 0.667 0.000 Dy
0.667 0.333 0.000 Dy
0.167 0.833 0.500 Y
0.500 0.500 0.500 Y
0.833 0.167 0.500 Y
0.084 0.418 0.250 Tm
0.250 0.250 0.750 Tm
0.418 0.084 0.250 Tm
0.582 0.916 0.750 Tm
0.750 0.750 0.250 Tm
0.916 0.582 0.750 Tm
```

[3]
DFT (PBE) results for a relaxed structure of AcPmNd2H.

Calculated values
space group = P4/mmm (123)
size of the total moment = 0.0 μB/f.u.
DOS(E_F) = 0.782 states/eV/atom
DFT total energy = -22.56 eV for the cell shown

Structure (POSCAR):
```
AcPmNd2H
1.0
5.261 0.000 0.000
0.000 5.261 0.000
0.000 0.000 5.257
Ac Pm Nd H
1 1 2 1
Direct
0.000 0.000 0.000 Ac
0.500 0.500 0.000 Pm
0.000 0.500 0.500 Nd
0.500 0.000 0.500 Nd
0.500 0.500 0.500 H
```

[4]
DFT (PBE) results for a relaxed structure of La4Tl5Pt2.

Calculated values
space group = P2/m (10)
size of the total moment = 0.0 μB/f.u.
DOS(E_F) = 0.723 states/eV/atom
formation energy from the elements = -0.643 eV per atom

Structure (POSCAR):
```
La4Tl5Pt2
1.0
8.179 0.000 0.000
0.000 3.876 0.000
-0.749 0.000 10.023
La Tl Pt
4 5 2
Direct
0.187 0.000 0.346 La
0.218 0.000 0.932 La
0.782 0.000 0.068 La
0.813 0.000 0.654 La
0.161 0.500 0.639 Tl
0.459 0.500 0.169 Tl
0.500 0.500 0.500 Tl
0.541 0.500 0.831 Tl
0.839 0.500 0.361 Tl
0.078 0.500 0.135 Pt
0.922 0.500 0.865 Pt
```

[5]
DFT (PBE) results for a relaxed structure of IrPd2Rh5.

Calculated values
space group = I4/mmm (139)
size of the total moment = 0.0 μB/f.u.
DOS(E_F) = 1.431 states/eV/atom
formation energy from the elements = 0.031 eV per atom

Structure (POSCAR):
```
IrPd2Rh5
1.0
-1.935 1.935 7.750
1.935 -1.935 7.750
1.935 1.935 -7.750
Ir Pd Rh
1 2 5
Direct
0.000 0.000 0.000 Ir
0.251 0.251 0.000 Pd
0.749 0.749 0.000 Pd
0.120 0.620 0.500 Rh
0.380 0.880 0.500 Rh
0.500 0.500 0.000 Rh
0.620 0.120 0.500 Rh
0.880 0.380 0.500 Rh
```

[6]
DFT (PBE) results for a relaxed structure of BaPuBi.

Calculated values
space group = P-6m2 (187)
size of the total moment = 6.3 μB/f.u.
DOS(E_F) = 5.378 states/eV/atom
formation energy from the elements = -0.187 eV per atom

Structure (POSCAR):
```
BaPuBi
1.0
5.468 0.000 0.000
-2.734 4.735 0.000
0.000 0.000 4.665
Ba Pu Bi
1 1 1
Direct
0.000 0.000 0.000 Ba
0.333 0.667 0.500 Pu
0.667 0.333 0.500 Bi
```

[7]
DFT (PBE) results for a relaxed structure of CaCeCd17.

Calculated values
space group = R3m (160)
size of the total moment = 1.1 μB/f.u.
DOS(E_F) = 0.679 states/eV/atom
formation energy from the elements = -0.123 eV per atom

Structure (POSCAR):
```
CaCeCd17
1.0
5.059 2.921 5.015
-5.059 2.921 5.015
0.000 -5.842 5.015
Ca Ce Cd
1 1 17
Direct
0.000 0.000 0.000 Ca
0.333 0.333 0.333 Ce
0.026 0.026 0.503 Cd
0.026 0.503 0.026 Cd
0.167 0.665 0.665 Cd
0.307 0.307 0.826 Cd
0.307 0.826 0.307 Cd
0.365 0.667 0.966 Cd
0.365 0.966 0.667 Cd
0.503 0.026 0.026 Cd
0.565 0.565 0.565 Cd
0.665 0.167 0.665 Cd
0.665 0.665 0.167 Cd
0.667 0.365 0.966 Cd
0.667 0.966 0.365 Cd
0.768 0.768 0.768 Cd
0.826 0.307 0.307 Cd
0.966 0.365 0.667 Cd
0.966 0.667 0.365 Cd
```

[8]
DFT (PBE) results for a relaxed structure of Tb5PmSmHo2.

Calculated values
space group = Cmc2_1 (36)
size of the total moment = 0.0 μB/f.u.
DOS(E_F) = 1.566 states/eV/atom
formation energy from the elements = 0.155 eV per atom

Structure (POSCAR):
```
Tb5PmSmHo2
1.0
2.812 -9.957 0.000
2.812 9.957 0.000
0.000 0.000 10.606
Tb Pm Sm Ho
10 2 2 4
Direct
0.017 0.983 0.500 Tb
0.282 0.718 0.785 Tb
0.299 0.701 0.182 Tb
0.391 0.609 0.499 Tb
0.478 0.522 0.212 Tb
0.522 0.478 0.712 Tb
0.609 0.391 0.999 Tb
0.701 0.299 0.682 Tb
0.718 0.282 0.285 Tb
0.983 0.017 0.000 Tb
0.416 0.584 0.926 Pm
0.584 0.416 0.426 Pm
0.201 0.799 0.486 Sm
0.799 0.201 0.986 Sm
0.110 0.890 0.210 Ho
0.114 0.886 0.795 Ho
0.886 0.114 0.295 Ho
0.890 0.110 0.710 Ho
```

[9]
DFT (PBE) results for a relaxed structure of LiTa2B.

Calculated values
space group = I-42d (122)
size of the total moment = 0.0 μB/f.u.
DOS(E_F) = 0.917 states/eV/atom
formation energy from the elements = 0.474 eV per atom

Structure (POSCAR):
```
LiTa2B
1.0
-3.314 3.314 2.621
3.314 -3.314 2.621
3.314 3.314 -2.621
Li Ta B
2 4 2
Direct
0.000 0.000 0.000 Li
0.750 0.250 0.500 Li
0.163 0.625 0.038 Ta
0.375 0.413 0.538 Ta
0.587 0.125 0.962 Ta
0.875 0.837 0.462 Ta
0.250 0.750 0.500 B
0.500 0.500 0.000 B
```

[10]
DFT (PBE) results for a relaxed structure of ReNiMo.

Calculated values
space group = P6_3/mmc (194)
size of the total moment = 0.0 μB/f.u.
DOS(E_F) = 0.563 states/eV/atom
formation energy from the elements = -0.010 eV per atom

Structure (POSCAR):
```
ReNiMo
1.0
4.265 0.000 0.000
-2.132 3.693 0.000
0.000 0.000 5.276
Re Ni Mo
2 2 2
Direct
0.000 0.000 0.000 Re
0.000 0.000 0.500 Re
0.333 0.667 0.250 Ni
0.667 0.333 0.750 Ni
0.333 0.667 0.750 Mo
0.667 0.333 0.250 Mo
```

[11]
DFT (PBE) results for a relaxed structure of PmDy5Pb6.

Calculated values
space group = C2/m (12)
size of the total moment = 0.0 μB/f.u.
DOS(E_F) = 0.661 states/eV/atom
formation energy from the elements = -0.442 eV per atom

Structure (POSCAR):
```
PmDy5Pb6
1.0
3.069 -7.664 0.000
3.069 7.664 0.000
-1.869 0.000 7.601
Pm Dy Pb
1 5 6
Direct
0.000 0.000 0.000 Pm
0.000 0.000 0.500 Dy
0.331 0.669 0.000 Dy
0.337 0.663 0.500 Dy
0.663 0.337 0.500 Dy
0.669 0.331 0.000 Dy
0.167 0.829 0.256 Pb
0.171 0.833 0.744 Pb
0.491 0.491 0.754 Pb
0.509 0.509 0.246 Pb
0.829 0.167 0.256 Pb
0.833 0.171 0.744 Pb
```

[12]
DFT (PBE) results for a relaxed structure of Na4Er3PaTe8.

Calculated values
space group = R-3m (166)
ΔE_f (raw) = -1171.1 meV/atom
size of the total moment = 1.8 μB/f.u.
DOS(E_F) = 0.636 states/eV/atom

Structure (POSCAR):
```
Na4Er3PaTe8
1.0
4.389 2.534 7.611
-4.389 2.534 7.611
0.000 -5.067 7.611
Na Er Pa Te
4 3 1 8
Direct
0.000 0.000 0.000 Na
0.000 0.500 0.500 Na
0.500 0.000 0.500 Na
0.500 0.500 0.000 Na
0.000 0.000 0.500 Er
0.000 0.500 0.000 Er
0.500 0.000 0.000 Er
0.500 0.500 0.500 Pa
0.241 0.747 0.747 Te
0.243 0.243 0.243 Te
0.253 0.253 0.759 Te
0.253 0.759 0.253 Te
0.747 0.241 0.747 Te
0.747 0.747 0.241 Te
0.757 0.757 0.757 Te
0.759 0.253 0.253 Te
```

[13]
DFT (PBE) results for a relaxed structure of Ba2In6PbAu.

Calculated values
space group = R-3m (166)
size of the total moment = 0.0 μB/f.u.
DOS(E_F) = 0.448 states/eV/atom
formation energy from the elements = -0.249 eV per atom

Structure (POSCAR):
```
Ba2In6PbAu
1.0
3.664 2.116 14.190
-3.664 2.116 14.190
0.000 -4.231 14.190
Ba In Pb Au
4 12 2 2
Direct
0.106 0.106 0.106 Ba
0.276 0.276 0.276 Ba
0.724 0.724 0.724 Ba
0.894 0.894 0.894 Ba
0.077 0.669 0.669 In
0.222 0.222 0.638 In
0.222 0.638 0.222 In
0.331 0.331 0.923 In
0.331 0.923 0.331 In
0.362 0.778 0.778 In
0.638 0.222 0.222 In
0.669 0.077 0.669 In
0.669 0.669 0.077 In
0.778 0.362 0.778 In
0.778 0.778 0.362 In
0.923 0.331 0.331 In
0.424 0.424 0.424 Pb
0.576 0.576 0.576 Pb
0.000 0.000 0.000 Au
0.500 0.500 0.500 Au
```

[14]
DFT (PBE) results for a relaxed structure of La8Ni2C.

Calculated values
space group = C2/m (12)
size of the total moment = 0.0 μB/f.u.
DOS(E_F) = 1.238 states/eV/atom
formation energy from the elements = -0.131 eV per atom

Structure (POSCAR):
```
La8Ni2C
1.0
9.538 -1.904 0.000
9.538 1.904 0.000
-0.461 0.000 8.943
La Ni C
8 2 1
Direct
0.017 0.017 0.197 La
0.224 0.224 0.330 La
0.362 0.362 0.031 La
0.399 0.399 0.460 La
0.601 0.601 0.540 La
0.638 0.638 0.969 La
0.776 0.776 0.670 La
0.983 0.983 0.803 La
0.165 0.165 0.731 Ni
0.835 0.835 0.269 Ni
0.500 0.500 0.000 C
```

[15]
DFT (PBE) results for a relaxed structure of Co4NiOs.

Calculated values
space group = F-43m (216)
size of the total moment = 9.2 μB/f.u.
DOS(E_F) = 1.718 states/eV/atom
formation energy from the elements = 0.260 eV per atom

Structure (POSCAR):
```
Co4NiOs
1.0
0.000 3.292 3.292
3.292 0.000 3.292
3.292 3.292 0.000
Co Ni Os
4 1 1
Direct
0.125 0.125 0.125 Co
0.125 0.125 0.626 Co
0.125 0.626 0.125 Co
0.626 0.125 0.125 Co
0.750 0.750 0.750 Ni
0.500 0.500 0.500 Os
```

[16]
DFT (PBE) results for a relaxed structure of MgPCl.

Calculated values
space group = P3m1 (156)
ΔE_f (raw) = -17.0 meV/atom
size of the total moment = 0.0 μB/f.u.
DOS(E_F) = 0.787 states/eV/atom

Structure (POSCAR):
```
MgPCl
1.0
4.480 0.000 0.000
-2.240 3.880 0.000
0.000 0.000 3.236
Mg P Cl
1 1 1
Direct
0.000 0.000 0.000 Mg
0.667 0.333 0.518 P
0.333 0.667 0.022 Cl
```

[17]
DFT (PBE) results for a relaxed structure of LaTmPu.

Calculated values
space group = I4mm (107)
size of the total moment = 6.1 μB/f.u.
DOS(E_F) = 2.395 states/eV/atom
formation energy from the elements = 0.124 eV per atom

Structure (POSCAR):
```
LaTmPu
1.0
-1.779 1.779 7.423
1.779 -1.779 7.423
1.779 1.779 -7.423
La Tm Pu
1 1 1
Direct
0.000 0.000 0.000 La
0.675 0.675 0.000 Tm
0.333 0.333 0.000 Pu
```

[18]
DFT (PBE) results for a relaxed structure of Y2MnH.

Calculated values
space group = Fm-3m (225)
size of the total moment = 0.0 μB/f.u.
DOS(E_F) = 0.762 states/eV/atom
DFT total energy = -23.46 eV for the cell shown

Structure (POSCAR):
```
Y2MnH
1.0
0.000 3.305 3.305
3.305 0.000 3.305
3.305 3.305 0.000
Y Mn H
2 1 1
Direct
0.250 0.250 0.250 Y
0.750 0.750 0.750 Y
0.000 0.000 0.000 Mn
0.500 0.500 0.500 H
```

[19]
DFT (PBE) results for a relaxed structure of TlSb2Pb.

Calculated values
space group = Immm (71)
ΔE_f (raw) = 85.0 meV/atom
size of the total moment = 0.0 μB/f.u.
DOS(E_F) = 0.503 states/eV/atom

Structure (POSCAR):
```
TlSb2Pb
1.0
-2.421 2.429 5.087
2.421 -2.429 5.087
2.421 2.429 -5.087
Tl Sb Pb
1 2 1
Direct
0.000 0.000 0.000 Tl
0.250 0.750 0.500 Sb
0.750 0.250 0.500 Sb
0.500 0.500 0.000 Pb
```

[20]
DFT (PBE) results for a relaxed structure of ZrCr.

Calculated values
space group = I4/mmm (139)
size of the total moment = 0.0 μB/f.u.
DOS(E_F) = 1.431 states/eV/atom
formation energy from the elements = 0.239 eV per atom

Structure (POSCAR):
```
ZrCr
1.0
-4.813 4.813 1.509
4.813 -4.813 1.509
4.813 4.813 -1.509
Zr Cr
4 4
Direct
0.156 0.156 0.312 Zr
0.156 0.844 0.000 Zr
0.844 0.156 0.000 Zr
0.844 0.844 0.688 Zr
0.140 0.500 0.640 Cr
0.500 0.140 0.640 Cr
0.500 0.860 0.360 Cr
0.860 0.500 0.360 Cr
```